[1]
Entry from Alexandria: NaZn2HgPt after structural relaxation (PBE).

a = 4.889 Å, b = 4.889 Å, c = 5.313 Å
α = 90.00°, β = 90.00°, γ = 90.00°
Element x y z (fractional)
Na1 0.500 0.500 0.500
Zn1 0.000 0.500 0.000
Zn2 0.500 0.000 0.000
Hg1 0.000 0.000 0.500
Pt1 0.000 0.000 0.000

Output
Symmetry   P4/mmm
Energy   -2.229 eV/atom



[2]
Entry from Alexandria: ZrSeS2 after structural relaxation (PBE).

a = 3.682 Å, b = 4.720 Å, c = 13.576 Å
α = 90.00°, β = 97.79°, γ = 90.00°
Element x y z (fractional)
Zr1 0.805 0.250 0.610
Zr2 0.195 0.750 0.390
Se1 0.020 0.250 0.039
Se2 0.980 0.750 0.961
S1 0.229 0.250 0.457
S2 0.771 0.750 0.543
S3 0.364 0.250 0.729
S4 0.636 0.750 0.271

Output
Symmetry   Cmcm
Energy   -6.002 eV/atom
Raw formation energy   -0.930 eV per atom



[3]
Entry from Alexandria: K4NpO5 after structural relaxation (PBE).

a = 5.144 Å, b = 6.620 Å, c = 6.620 Å
α = 81.32°, β = 67.14°, γ = 67.14°
Site moments in Bohr magnetons follow the coordinates.
Element x y z (fractional)
K1 0.393 0.407 0.818  0.00
K2 0.800 0.818 0.593  0.00
K3 0.211 0.182 0.407  0.00
K4 0.618 0.593 0.182  0.00
Np1 0.021 0.000 0.000  1.22
O1 0.941 0.290 0.841  -0.04
O2 0.231 0.841 0.710  -0.04
O3 0.782 0.159 0.290  -0.04
O4 0.072 0.710 0.159  -0.04
O5 0.441 0.000 0.000  -0.04

Output
Symmetry   I4
Energy   -6.352 eV/atom
Raw formation energy   -2.140 eV per atom



[4]
Entry from Alexandria: AlSiSe2 after structural relaxation (PBE).

a = 4.687 Å, b = 4.689 Å, c = 4.688 Å
α = 71.89°, β = 69.84°, γ = 110.16°
Element x y z (fractional)
Si1 0.500 0.500 0.000
Al1 0.500 0.000 0.500
Se1 0.000 0.000 0.000
Se2 0.000 0.500 0.500

Output
Symmetry   I4/mmm
Energy   -4.113 eV/atom
Raw formation energy   -0.079 eV per atom



[5]
Entry from Alexandria: Hf3GaSe after structural relaxation (PBE).

a = 4.905 Å, b = 4.905 Å, c = 4.905 Å
α = 90.00°, β = 90.00°, γ = 90.00°
Element x y z (fractional)
Hf1 0.000 0.500 0.000
Hf2 0.000 0.000 0.500
Hf3 0.500 0.000 0.000
Ga1 0.500 0.500 0.500
Se1 0.000 0.000 0.000

Output
Symmetry   Pm-3m
Energy   -7.046 eV/atom
Raw formation energy   0.228 eV per atom



[6]
Entry from Alexandria: LuMnNi2 after structural relaxation (PBE).

a = 4.096 Å, b = 4.096 Å, c = 4.968 Å
α = 65.65°, β = 65.65°, γ = 60.00°
Site moments in Bohr magnetons follow the coordinates.
Element x y z (fractional)
Ni1 0.794 0.794 0.618  0.25
Ni2 0.206 0.206 0.382  0.25
Lu1 0.000 0.000 0.000  -0.18
Mn1 0.500 0.500 0.500  3.01

Output
Symmetry   R-3m
Energy   -6.572 eV/atom



[7]
Entry from Alexandria: CdIn3Bi after structural relaxation (PBE).

a = 4.452 Å, b = 6.080 Å, c = 11.202 Å
α = 85.93°, β = 90.24°, γ = 67.13°
Element x y z (fractional)
Cd1 0.937 0.121 0.131
Cd2 0.063 0.879 0.869
In1 0.851 0.298 0.457
In2 0.346 0.302 0.946
In3 0.755 0.482 0.748
In4 0.149 0.702 0.543
In5 0.245 0.518 0.252
In6 0.654 0.698 0.054
Bi1 0.527 0.939 0.326
Bi2 0.473 0.061 0.674

Output
Symmetry   P-1
Energy   -2.567 eV/atom



[8]
Entry from Alexandria: LaSc2MnSb after structural relaxation (PBE).

a = 5.205 Å, b = 5.802 Å, c = 5.205 Å
α = 90.00°, β = 90.00°, γ = 90.00°
Site moments in Bohr magnetons follow the coordinates.
Element x y z (fractional)
Sc1 0.000 0.000 0.500  0.05
Sc2 0.500 0.000 0.000  0.02
Sb1 0.000 0.500 0.000  0.01
Mn1 0.500 0.500 0.500  -0.18
La1 0.000 0.000 0.000  0.02

Output
Symmetry   P4/mmm
Energy   -4.502 eV/atom
Raw formation energy   1.674 eV per atom



[9]
Entry from Alexandria: MgSiSb2 after structural relaxation (PBE).

a = 3.534 Å, b = 3.534 Å, c = 7.359 Å
α = 90.00°, β = 90.00°, γ = 90.00°
Element x y z (fractional)
Mg1 0.500 0.500 0.750
Sb1 0.000 0.000 0.019
Sb2 0.000 0.000 0.481
Si1 0.500 0.500 0.250

Output
Symmetry   P4/mmm
Energy   -3.583 eV/atom
Raw formation energy   0.233 eV per atom



[10]
Entry from Alexandria: La2InTc after structural relaxation (PBE).

a = 3.501 Å, b = 3.501 Å, c = 8.822 Å
α = 90.00°, β = 90.00°, γ = 90.00°
Element x y z (fractional)
In1 0.500 0.500 0.750
La1 0.000 0.000 0.048
La2 0.000 0.000 0.452
Tc1 0.500 0.500 0.250

Output
Symmetry   P4/mmm
Energy   -5.835 eV/atom



[11]
Entry from Alexandria: LaTb3Nd2Te6 after structural relaxation (PBE).

a = 4.420 Å, b = 8.968 Å, c = 9.978 Å
α = 103.88°, β = 102.80°, γ = 90.00°
Element x y z (fractional)
La1 0.500 0.000 0.000
Tb1 0.500 0.500 0.000
Tb2 0.834 0.168 0.668
Tb3 0.166 0.832 0.332
Nd1 0.832 0.664 0.664
Nd2 0.168 0.336 0.336
Te1 0.329 0.921 0.659
Te2 0.664 0.590 0.328
Te3 0.671 0.079 0.341
Te4 0.999 0.259 0.997
Te5 0.001 0.741 0.003
Te6 0.336 0.410 0.672

Output
Symmetry   C2/m
Energy   -5.333 eV/atom
Raw formation energy   -1.399 eV per atom



[12]
Entry from Alexandria: ErU2Se6 after structural relaxation (PBE).

a = 4.138 Å, b = 8.395 Å, c = 9.254 Å
α = 104.08°, β = 102.92°, γ = 90.00°
Site moments in Bohr magnetons follow the coordinates.
Element x y z (fractional)
Er1 0.500 0.000 0.000  -0.01
U1 0.835 0.676 0.670  1.70
U2 0.165 0.324 0.330  1.70
Se1 0.336 0.901 0.672  -0.07
Se2 0.009 0.238 0.018  -0.05
Se3 0.673 0.558 0.347  -0.08
Se4 0.991 0.762 0.982  -0.05
Se5 0.664 0.099 0.328  -0.07
Se6 0.327 0.442 0.653  -0.08

Output
Symmetry   C2/m
Energy   -6.627 eV/atom
Raw formation energy   -1.288 eV per atom



| no. | calculated volume (Å³ per cell) |
| --- | --- |
| 1 | 127 |
| 2 | 234 |
| 3 | 191 |
| 4 | 79 |
| 5 | 118 |
| 6 | 63 |
| 7 | 278 |
| 8 | 157 |
| 9 | 92 |
| 10 | 108 |
| 11 | 374 |
| 12 | 303 |